No. 1
VASP calculation (PBE) on a relaxed Na5SrI7 crystal.

Values from the calculation:
Total magnetic moment: 0.00 μB per formula unit
Space-group type: Cm
ΔE_f (raw): -1350 meV/atom

```
Na5SrI7
1.0
7.640 -2.282 0.000
7.640 2.282 0.000
-0.041 0.000 27.432
Na Sr I
10 2 14
Cartesian
0.000 0.000 0.000 Na
15.271 0.000 5.886 Na
1.160 0.000 19.608 Na
1.191 0.000 13.723 Na
3.999 0.000 7.873 Na
3.968 0.000 25.446 Na
8.197 0.000 23.521 Na
8.231 0.000 9.806 Na
12.428 0.000 21.594 Na
12.463 0.000 11.733 Na
5.002 0.000 16.683 Sr
11.451 0.000 2.934 Sr
1.410 0.000 2.942 I
2.634 0.000 22.507 I
2.670 0.000 10.820 I
5.369 0.000 0.930 I
5.358 0.000 4.950 I
6.795 0.000 20.524 I
6.834 0.000 12.790 I
9.628 0.000 6.816 I
9.600 0.000 26.510 I
11.073 0.000 18.677 I
11.103 0.000 14.657 I
13.792 0.000 8.787 I
13.760 0.000 24.530 I
15.043 0.000 16.665 I
```

No. 2
VASP calculation (PBE) on a relaxed CsNpHgBr6 crystal.

Values from the calculation:
Total magnetic moment: 3.98 μB per formula unit
Space-group type: P312
ΔE_f (raw): -1149 meV/atom

```
CsNpHgBr6
1.0
7.668 0.000 0.000
-3.834 6.641 0.000
0.000 0.000 7.747
Cs Np Hg Br
1 1 1 6
Cartesian
0.000 0.000 0.000 Cs
0.000 4.427 3.873 Np
3.834 2.214 3.873 Hg
-1.421 2.581 5.519 Br
-2.310 4.120 2.227 Br
1.421 2.581 2.227 Br
-0.889 6.581 5.519 Br
2.310 4.120 5.519 Br
0.889 6.581 2.227 Br
```

No. 3
VASP calculation (PBE) on a relaxed Zn2CrIn crystal.

Values from the calculation:
Total magnetic moment: 0.00 μB per formula unit
Space-group type: R-3m
Calculated formation energy: 40.41 kJ/mol of atoms

```
Zn2CrIn
1.0
1.461 0.844 8.993
-1.461 0.844 8.993
0.000 -1.687 8.993
Zn Cr In
2 1 1
Cartesian
0.000 0.000 6.513 Zn
0.000 0.000 20.466 Zn
0.000 0.000 13.490 Cr
0.000 0.000 0.000 In
```

No. 4
VASP calculation (PBE) on a relaxed CaTa2Cd crystal.

Values from the calculation:
Total magnetic moment: 0.00 μB per formula unit
Space-group type: P4/mmm
Calculated formation energy: 59.28 kJ/mol of atoms

```
CaTa2Cd
1.0
4.107 0.000 0.000
0.000 4.107 0.000
0.000 0.000 5.085
Ca Ta Cd
1 2 1
Cartesian
0.000 0.000 0.000 Ca
0.000 2.053 2.543 Ta
2.053 0.000 2.543 Ta
2.053 2.053 0.000 Cd
```

No. 5
VASP calculation (PBE) on a relaxed AcZrTe crystal.

Values from the calculation:
Total magnetic moment: 0.00 μB per formula unit
Space-group type: Cmme
ΔE_f (raw): -81 meV/atom

```
AcZrTe
1.0
2.985 -3.007 0.000
2.985 3.007 0.000
0.000 0.000 11.387
Ac Zr Te
2 2 2
Cartesian
2.985 1.504 8.555 Ac
2.985 -1.504 2.831 Ac
2.985 1.504 5.132 Zr
2.985 -1.504 6.254 Zr
1.493 0.000 0.000 Te
4.478 0.000 0.000 Te
```

No. 6
VASP calculation (PBE) on a relaxed CrMoSe2 crystal.

Values from the calculation:
Energy above the most stable polymorph in this dataset: 351.3 meV/atom
Total magnetic moment: 3.57 μB per formula unit
Space-group type: C2/m
ΔE_f (raw): 61 meV/atom

```
CrMoSe2
1.0
3.895 -1.654 0.000
3.895 1.654 0.000
-0.911 0.000 5.494
Cr Mo Se
1 1 2
Cartesian
0.000 0.000 0.000 Cr
3.440 0.000 2.747 Mo
1.097 0.000 4.009 Se
5.783 0.000 1.485 Se
```

No. 7
VASP calculation (PBE) on a relaxed PrEr2Ni crystal.

Values from the calculation:
Energy above the most stable polymorph in this dataset: 0.8 meV/atom
Total magnetic moment: 0.00 μB per formula unit
Space-group type: P4/mmm
Calculated formation energy: -19.45 kJ/mol of atoms

```
PrEr2Ni
1.0
3.430 0.000 0.000
0.000 3.430 0.000
0.000 0.000 8.814
Pr Er Ni
1 2 1
Cartesian
0.000 0.000 0.000 Pr
1.715 1.715 2.817 Er
1.715 1.715 5.996 Er
0.000 0.000 4.407 Ni
```

No. 8
VASP calculation (PBE) on a relaxed CeZn2CuAu4 crystal.

Values from the calculation:
Total magnetic moment: 0.63 μB per formula unit
Space-group type: R-3m
Calculated formation energy: -32.85 kJ/mol of atoms

```
CeZn2CuAu4
1.0
2.230 1.287 8.745
-2.230 1.287 8.745
0.000 -2.575 8.745
Ce Zn Cu Au
1 2 1 4
Cartesian
0.000 0.000 0.000 Ce
0.000 0.000 6.280 Zn
0.000 0.000 19.954 Zn
0.000 0.000 13.117 Cu
0.000 0.000 3.468 Au
0.000 0.000 10.440 Au
0.000 0.000 15.795 Au
0.000 0.000 22.766 Au
```

No. 9
VASP calculation (PBE) on a relaxed Fe3C crystal.

Values from the calculation:
Total magnetic moment: 2.09 μB per formula unit
Space-group type: P-6m2
Calculated formation energy: 17.66 kJ/mol of atoms

```
Fe3C
1.0
2.575 0.000 0.000
-1.287 2.230 0.000
0.000 0.000 6.540
Fe C
3 1
Cartesian
0.000 0.000 0.000 Fe
1.287 0.743 2.017 Fe
1.287 0.743 4.522 Fe
0.000 0.000 3.270 C
```

No. 10
VASP calculation (PBE) on a relaxed Nd5In2Os crystal.

Values from the calculation:
Total magnetic moment: 0.00 μB per formula unit
Space-group type: Pbam
Calculated formation energy: -28.89 kJ/mol of atoms

```
Nd5In2Os
1.0
8.047 0.000 0.000
0.000 12.499 0.000
0.000 0.000 4.811
Nd In Os
10 4 2
Cartesian
0.000 0.000 0.000 Nd
1.128 3.719 0.000 Nd
1.476 7.114 2.406 Nd
2.547 0.865 2.406 Nd
2.895 9.969 0.000 Nd
4.024 6.249 0.000 Nd
5.152 2.530 0.000 Nd
5.500 11.634 2.406 Nd
6.571 5.385 2.406 Nd
6.919 8.780 0.000 Nd
0.593 10.393 2.406 In
3.431 4.144 2.406 In
4.616 8.355 2.406 In
7.454 2.105 2.406 In
0.000 6.249 0.000 Os
4.024 0.000 0.000 Os
```

No. 11
VASP calculation (PBE) on a relaxed Ba2LiFe crystal.

Values from the calculation:
Energy above the most stable polymorph in this dataset: 157.6 meV/atom
Total magnetic moment: 1.94 μB per formula unit
Space-group type: I-4m2
Calculated formation energy: 58.27 kJ/mol of atoms

```
Ba2LiFe
1.0
-2.463 2.463 5.576
2.463 -2.463 5.576
2.463 2.463 -5.576
Ba Li Fe
2 1 1
Cartesian
0.000 0.000 0.000 Ba
0.000 2.463 2.788 Ba
0.000 0.000 5.576 Li
2.463 0.000 2.788 Fe
```

No. 12
VASP calculation (PBE) on a relaxed Nd6AlAg3 crystal.

Values from the calculation:
Total magnetic moment: 0.00 μB per formula unit
Space-group type: P2_1/m
Calculated formation energy: -17.50 kJ/mol of atoms

```
Nd6AlAg3
1.0
9.468 0.000 0.000
0.000 5.208 0.000
-2.897 0.000 11.475
Nd Al Ag
12 2 6
Cartesian
-0.268 1.302 1.239 Nd
-0.569 1.302 7.950 Nd
0.917 3.906 5.869 Nd
2.355 1.302 3.931 Nd
3.142 3.906 1.296 Nd
1.201 3.906 9.600 Nd
5.370 1.302 1.875 Nd
3.430 1.302 10.178 Nd
4.216 3.906 7.543 Nd
5.654 1.302 5.606 Nd
7.141 3.906 3.524 Nd
6.839 3.906 10.236 Nd
2.470 1.302 7.162 Al
4.101 3.906 4.312 Al
-0.789 1.302 4.393 Ag
0.600 3.906 2.821 Ag
-0.222 1.302 11.099 Ag
6.793 3.906 0.376 Ag
5.971 1.302 8.654 Ag
7.361 3.906 7.082 Ag
```

No. 13
VASP calculation (PBE) on a relaxed Zn2RuRh crystal.

Values from the calculation:
Total magnetic moment: 0.00 μB per formula unit
Space-group type: P2/m
Calculated formation energy: -3.17 kJ/mol of atoms

```
Zn2RuRh
1.0
2.688 0.000 0.000
0.000 4.278 0.000
-0.351 0.000 4.927
Zn Ru Rh
2 1 1
Cartesian
0.541 0.000 1.229 Zn
1.797 0.000 3.698 Zn
1.344 2.139 0.000 Ru
-0.175 2.139 2.463 Rh
```